# 1
This record from the Alexandria database describes Ba2GaHg2 after structural relaxation. The functional is PBE.

Output
offset from the most stable computed form	0.75	eV per formula unit
energy relative to the elements	-296	meV per atom

Lattice parameters (Å, degrees): 10.243 10.243 10.243 155.69 155.69 34.65
Fractional positions:
Ba1 0.100 0.100 0.000
Ba2 0.900 0.900 0.000
Ga1 0.500 0.500 0.000
Hg1 0.250 0.750 0.500
Hg2 0.750 0.250 0.500

# 2
This record from the Alexandria database describes Ba12GaHg6 after structural relaxation. The functional is PBE.

Output
energy relative to the elements	-261	meV per atom

Lattice parameters (Å, degrees): 10.049 10.049 10.049 100.16 100.16 100.16
Fractional positions:
Ba1 0.044 0.682 0.929
Ba2 0.071 0.956 0.318
Ba3 0.178 0.420 0.574
Ba4 0.318 0.071 0.956
Ba5 0.420 0.574 0.178
Ba6 0.426 0.822 0.580
Ba7 0.574 0.178 0.420
Ba8 0.580 0.426 0.822
Ba9 0.682 0.929 0.044
Ba10 0.822 0.580 0.426
Ba11 0.929 0.044 0.682
Ba12 0.956 0.318 0.071
Ga1 0.000 0.000 0.000
Hg1 0.136 0.624 0.312
Hg2 0.312 0.136 0.624
Hg3 0.376 0.688 0.864
Hg4 0.624 0.312 0.136
Hg5 0.688 0.864 0.376
Hg6 0.864 0.376 0.688

# 3
This record from the Alexandria database describes Ba5Ga2Hg2 after structural relaxation. The functional is PBE.

Output
energy relative to the elements	-369	meV per atom

Lattice parameters (Å, degrees): 10.344 10.344 9.059 90.00 90.00 48.08
Fractional positions:
Ba1 0.000 0.000 0.000
Ba2 0.036 0.688 0.680
Ba3 0.188 0.536 0.180
Ba4 0.312 0.964 0.680
Ba5 0.464 0.812 0.180
Ba6 0.500 0.500 0.500
Ba7 0.536 0.188 0.820
Ba8 0.688 0.036 0.320
Ba9 0.812 0.464 0.820
Ba10 0.964 0.312 0.320
Ga1 0.095 0.905 0.393
Ga2 0.405 0.595 0.893
Ga3 0.595 0.405 0.107
Ga4 0.905 0.095 0.607
Hg1 0.211 0.211 0.000
Hg2 0.289 0.289 0.500
Hg3 0.711 0.711 0.500
Hg4 0.789 0.789 0.000

# 4
This record from the Alexandria database describes Ba2GaHg2 after structural relaxation. The functional is PBE.

Output
offset from the most stable computed form	0.00	eV per formula unit
energy relative to the elements	-447	meV per atom

Lattice parameters (Å, degrees): 6.671 6.671 12.707 116.20 116.20 43.24
Fractional positions:
Ba1 0.022 0.022 0.350
Ba2 0.194 0.194 0.113
Ba3 0.806 0.806 0.887
Ba4 0.978 0.978 0.650
Ga1 0.277 0.277 0.651
Ga2 0.723 0.723 0.349
Hg1 0.346 0.346 0.429
Hg2 0.486 0.486 0.122
Hg3 0.514 0.514 0.878
Hg4 0.654 0.654 0.571

# 5
This record from the Alexandria database describes Ba5Ga2Hg after structural relaxation. The functional is PBE.

Output
energy relative to the elements	-315	meV per atom

Lattice parameters (Å, degrees): 10.877 10.877 10.877 133.09 133.09 68.51
Fractional positions:
Ba1 0.000 0.000 0.000
Ba2 0.031 0.531 0.847
Ba3 0.185 0.031 0.500
Ba4 0.315 0.815 0.847
Ba5 0.469 0.315 0.500
Ba6 0.500 0.500 0.000
Ba7 0.531 0.685 0.500
Ba8 0.685 0.185 0.153
Ba9 0.815 0.969 0.500
Ba10 0.969 0.469 0.153
Ga1 0.106 0.394 0.500
Ga2 0.394 0.894 0.288
Ga3 0.606 0.106 0.712
Ga4 0.894 0.606 0.500
Hg1 0.250 0.250 0.000
Hg2 0.750 0.750 0.000

# 6
This record from the Alexandria database describes Ba2GaHg5 after structural relaxation. The functional is PBE.

Output
offset from the most stable computed form	0.52	eV per formula unit
energy relative to the elements	-321	meV per atom

Lattice parameters (Å, degrees): 7.177 7.177 7.177 121.40 121.40 87.59
Fractional positions:
Ba1 0.000 0.500 0.500
Ba2 0.500 0.000 0.500
Ga1 0.328 0.328 0.000
Hg1 0.038 0.038 0.000
Hg2 0.534 0.534 0.567
Hg3 0.534 0.967 0.000
Hg4 0.967 0.534 0.000
Hg5 0.967 0.967 0.433

# 7
This record from the Alexandria database describes Ba3GaHg2 after structural relaxation. The functional is PBE.

Output
energy relative to the elements	-456	meV per atom

Lattice parameters (Å, degrees): 9.319 9.319 4.186 90.00 90.00 143.05
Fractional positions:
Ba1 0.000 0.000 0.000
Ba2 0.336 0.664 0.000
Ba3 0.664 0.336 0.000
Ga1 0.500 0.500 0.500
Hg1 0.165 0.835 0.500
Hg2 0.835 0.165 0.500

# 8
This record from the Alexandria database describes Ba2GaHg7 after structural relaxation. The functional is PBE.

Output
energy relative to the elements	-330	meV per atom

Lattice parameters (Å, degrees): 4.812 4.812 12.726 90.00 90.00 90.00
Fractional positions:
Ba1 0.000 0.500 0.245
Ba2 0.500 0.000 0.755
Ga1 0.500 0.500 0.000
Hg1 0.000 0.000 0.000
Hg2 0.000 0.000 0.500
Hg3 0.000 0.500 0.643
Hg4 0.000 0.500 0.872
Hg5 0.500 0.000 0.128
Hg6 0.500 0.000 0.357
Hg7 0.500 0.500 0.500

# 9
This record from the Alexandria database describes Ba5GaHg2 after structural relaxation. The functional is PBE.

Output
energy relative to the elements	-323	meV per atom

Lattice parameters (Å, degrees): 7.631 14.756 5.886 90.00 90.00 90.00
Fractional positions:
Ba1 0.000 0.000 0.000
Ba2 0.158 0.289 0.000
Ba3 0.164 0.601 0.500
Ba4 0.336 0.101 0.500
Ba5 0.342 0.789 0.000
Ba6 0.500 0.500 0.000
Ba7 0.658 0.211 0.000
Ba8 0.664 0.899 0.500
Ba9 0.836 0.399 0.500
Ba10 0.842 0.711 0.000
Ga1 0.000 0.500 0.000
Ga2 0.500 0.000 0.000
Hg1 0.127 0.863 0.500
Hg2 0.373 0.363 0.500
Hg3 0.627 0.637 0.500
Hg4 0.873 0.137 0.500

# 10
This record from the Alexandria database describes Ba2In3Ga4Hg after structural relaxation. The functional is PBE.

Output
energy relative to the elements	-379	meV per atom

Lattice parameters (Å, degrees): 4.863 4.863 11.423 90.00 90.00 90.00
Fractional positions:
Ba1 0.000 0.500 0.247
Ba2 0.500 0.000 0.753
In1 0.000 0.500 0.872
In2 0.500 0.000 0.128
In3 0.500 0.500 0.500
Ga1 0.000 0.000 0.000
Ga2 0.000 0.500 0.631
Ga3 0.500 0.000 0.369
Ga4 0.500 0.500 0.000
Hg1 0.000 0.000 0.500

# 11
This record from the Alexandria database describes Ba2InGaHg6 after structural relaxation. The functional is PBE.

Output
energy relative to the elements	-278	meV per atom

Lattice parameters (Å, degrees): 6.335 7.315 7.640 80.29 71.98 69.02
Fractional positions:
Ba1 0.206 0.248 0.279
Ba2 0.794 0.752 0.721
In1 0.500 0.500 0.500
Ga1 0.000 0.000 0.000
Hg1 0.186 0.774 0.287
Hg2 0.287 0.603 0.904
Hg3 0.305 0.196 0.766
Hg4 0.695 0.804 0.234
Hg5 0.713 0.397 0.096
Hg6 0.814 0.226 0.713

# 12
This record from the Alexandria database describes Ba2InGa4Hg3 after structural relaxation. The functional is PBE.

Output
energy relative to the elements	-374	meV per atom

Lattice parameters (Å, degrees): 4.799 4.799 11.470 90.00 90.00 90.00
Fractional positions:
Ba1 0.000 0.500 0.247
Ba2 0.500 0.000 0.753
In1 0.000 0.000 0.500
Ga1 0.000 0.000 0.000
Ga2 0.000 0.500 0.636
Ga3 0.500 0.000 0.364
Ga4 0.500 0.500 0.000
Hg1 0.000 0.500 0.872
Hg2 0.500 0.000 0.128
Hg3 0.500 0.500 0.500